Density functional theory data (PBE) for crystalline PmPr2DyY6 at its relaxed geometry.

Results
DFT total energy	-0.416	Ry per atom
ρ	5.57	g/cm3

abc: 9.131 15.093 9.871
angles: 90.00 99.93 90.00
Space group C2/c (No. 15)
Asymmetric unit:
Pm  0.000  0.017  0.250 (multiplicity 4)
Pr  0.242  0.049  0.544 (multiplicity 8)
Dy  0.000  0.406  0.750 (multiplicity 4)
Y  0.070  0.190  0.943 (multiplicity 8)
Y  0.097  0.395  0.118 (multiplicity 8)
Y  0.203  0.223  0.314 (multiplicity 8)